Version one
A plane-wave DFT calculation with PBE was carried out for a geometry-optimized Dy4Tm3Sc4 structure.

CIF file:
```
data_Dy4Tm3Sc4
_space_group_name_H-M_alt 'P -1'
_space_group_IT_number 2
_space_group_name_Hall '-P 1'
_cell_length_a 3.397
_cell_length_b 5.403
_cell_length_c 17.348
_cell_angle_alpha 81.05
_cell_angle_beta 84.40
_cell_angle_gamma 90.00
loop_
_atom_site_label
_atom_site_type_symbol
_atom_site_fract_x
_atom_site_fract_y
_atom_site_fract_z
Dy1 Dy 0.090 0.090 0.319
Dy2 Dy 0.232 0.732 0.036
Tm1 Tm 0.365 0.364 0.772
Tm2 Tm 0.500 0.000 0.500
Sc1 Sc 0.044 0.544 0.411
Sc2 Sc 0.180 0.180 0.139
```

* spin magnetization: 0.00 Bohr magnetons per cell

Version two
A plane-wave DFT calculation with PBE was carried out for a geometry-optimized Dy4Tm3Sc4 structure.

CIF file:
```
data_Dy4Tm3Sc4
_space_group_name_H-M_alt 'I m m m'
_space_group_IT_number 71
_space_group_name_Hall '-I 2 2'
_cell_length_a 3.438
_cell_length_b 4.819
_cell_length_c 37.707
_cell_angle_alpha 90.00
_cell_angle_beta 90.00
_cell_angle_gamma 90.00
loop_
_atom_site_label
_atom_site_type_symbol
_atom_site_fract_x
_atom_site_fract_y
_atom_site_fract_z
Dy1 Dy 0.000 0.000 0.047
Dy2 Dy 0.000 0.000 0.316
Tm1 Tm 0.000 0.000 0.137
Tm2 Tm 0.000 0.000 0.500
Sc1 Sc 0.000 0.000 0.229
Sc2 Sc 0.000 0.000 0.408
```

* spin magnetization: 0.00 Bohr magnetons per cell

version two is the most stable structure; the next one sits 23 meV/atom above it.

Version one
A plane-wave DFT calculation with PBE was carried out for a geometry-optimized Dy2TmSc7 structure.

CIF file:
```
data_Dy2TmSc7
_space_group_name_H-M_alt 'C m m m'
_space_group_IT_number 65
_space_group_name_Hall '-C 2 2'
_cell_length_a 6.026
_cell_length_b 27.045
_cell_length_c 3.315
_cell_angle_alpha 90.00
_cell_angle_beta 90.00
_cell_angle_gamma 90.00
loop_
_atom_site_label
_atom_site_type_symbol
_atom_site_fract_x
_atom_site_fract_y
_atom_site_fract_z
Dy1 Dy 0.000 0.211 0.000
Tm1 Tm 0.000 0.500 0.500
Sc1 Sc 0.000 0.000 0.000
Sc2 Sc 0.000 0.318 0.500
Sc3 Sc 0.246 0.402 0.000
```

* spin magnetization: 0.00 Bohr magnetons per cell

Version two
A plane-wave DFT calculation with PBE was carried out for a geometry-optimized Dy2TmSc7 structure.

CIF file:
```
data_Dy2TmSc7
_space_group_name_H-M_alt 'C 1 2/m 1'
_space_group_IT_number 12
_space_group_name_Hall '-C 2y'
_cell_length_a 17.370
_cell_length_b 3.345
_cell_length_c 9.413
_cell_angle_alpha 90.00
_cell_angle_beta 105.86
_cell_angle_gamma 90.00
loop_
_atom_site_label
_atom_site_type_symbol
_atom_site_fract_x
_atom_site_fract_y
_atom_site_fract_z
Dy1 Dy 0.199 0.000 0.105
Tm1 Tm 0.000 0.000 0.000
Sc1 Sc 0.000 0.000 0.500
Sc2 Sc 0.099 0.500 0.309
Sc3 Sc 0.099 0.500 0.791
Sc4 Sc 0.198 0.000 0.594
```

* spin magnetization: 0.00 Bohr magnetons per cell

version two is the most stable structure; the next one sits 91 meV/atom above it.

Version one
A plane-wave DFT calculation with PBE was carried out for a geometry-optimized Dy6TmSc structure.

CIF file:
```
data_Dy6TmSc
_space_group_name_H-M_alt 'P 4/m m m'
_space_group_IT_number 123
_space_group_name_Hall '-P 4 2'
_cell_length_a 4.956
_cell_length_b 4.956
_cell_length_c 9.880
_cell_angle_alpha 90.00
_cell_angle_beta 90.00
_cell_angle_gamma 90.00
loop_
_atom_site_label
_atom_site_type_symbol
_atom_site_fract_x
_atom_site_fract_y
_atom_site_fract_z
Dy1 Dy 0.000 0.000 0.000
Dy2 Dy 0.000 0.000 0.500
Dy3 Dy 0.000 0.500 0.246
Tm1 Tm 0.500 0.500 0.500
Sc1 Sc 0.500 0.500 0.000
```

* spin magnetization: 0.00 Bohr magnetons per cell

Version two
A plane-wave DFT calculation with PBE was carried out for a geometry-optimized Dy6TmSc structure.

CIF file:
```
data_Dy6TmSc
_space_group_name_H-M_alt 'P -3 1 m'
_space_group_IT_number 162
_space_group_name_Hall '-P 3 2'
_cell_length_a 6.5245
_cell_length_b 6.5245
_cell_length_c 6.6295
_cell_angle_alpha 90.00
_cell_angle_beta 90.00
_cell_angle_gamma 120.00
loop_
_atom_site_label
_atom_site_type_symbol
_atom_site_fract_x
_atom_site_fract_y
_atom_site_fract_z
Dy1 Dy 0.0000 0.4434 0.2475
Tm1 Tm 0.0000 0.0000 0.5000
Sc1 Sc 0.0000 0.0000 0.0000
```

* spin magnetization: 0.01 Bohr magnetons per cell

version one is the most stable structure; the next one sits 152 meV/atom above it.

Version one
A plane-wave DFT calculation with PBE was carried out for a geometry-optimized DyYTmSc structure.

CIF file:
```
data_DyYTmSc
_space_group_name_H-M_alt 'F -4 3 m'
_space_group_IT_number 216
_space_group_name_Hall 'F -4 2 3'
_cell_length_a 7.809
_cell_length_b 7.809
_cell_length_c 7.809
_cell_angle_alpha 90.00
_cell_angle_beta 90.00
_cell_angle_gamma 90.00
loop_
_atom_site_label
_atom_site_type_symbol
_atom_site_fract_x
_atom_site_fract_y
_atom_site_fract_z
Dy1 Dy 0.000 0.000 0.000
Y1 Y 0.000 0.000 0.500
Tm1 Tm 0.250 0.250 0.250
Sc1 Sc 0.250 0.250 0.750
```

* spin magnetization: 0.00 Bohr magnetons per cell

Version two
A plane-wave DFT calculation with PBE was carried out for a geometry-optimized DyYTmSc structure.

CIF file:
```
data_DyYTmSc
_space_group_name_H-M_alt 'I -4 m 2'
_space_group_IT_number 119
_space_group_name_Hall 'I -4 -2'
_cell_length_a 4.918
_cell_length_b 4.918
_cell_length_c 9.746
_cell_angle_alpha 90.00
_cell_angle_beta 90.00
_cell_angle_gamma 90.00
loop_
_atom_site_label
_atom_site_type_symbol
_atom_site_fract_x
_atom_site_fract_y
_atom_site_fract_z
Dy1 Dy 0.000 0.000 0.000
Y1 Y 0.000 0.500 0.750
Tm1 Tm 0.000 0.500 0.250
Sc1 Sc 0.000 0.000 0.500
```

* spin magnetization: 0.00 Bohr magnetons per cell

version two is the most stable structure; the next one sits 74 meV/atom above it.

Version one
A plane-wave DFT calculation with PBE was carried out for a geometry-optimized DyTmZrSc structure.

CIF file:
```
data_DyTmZrSc
_space_group_name_H-M_alt 'I -4 m 2'
_space_group_IT_number 119
_space_group_name_Hall 'I -4 -2'
_cell_length_a 4.746
_cell_length_b 4.746
_cell_length_c 9.484
_cell_angle_alpha 90.00
_cell_angle_beta 90.00
_cell_angle_gamma 90.00
loop_
_atom_site_label
_atom_site_type_symbol
_atom_site_fract_x
_atom_site_fract_y
_atom_site_fract_z
Dy1 Dy 0.000 0.000 0.000
Tm1 Tm 0.000 0.500 0.750
Zr1 Zr 0.000 0.500 0.250
Sc1 Sc 0.000 0.000 0.500
```

* spin magnetization: 0.00 Bohr magnetons per cell

Version two
A plane-wave DFT calculation with PBE was carried out for a geometry-optimized DyTmZrSc structure.

CIF file:
```
data_DyTmZrSc
_space_group_name_H-M_alt 'F -4 3 m'
_space_group_IT_number 216
_space_group_name_Hall 'F -4 2 3'
_cell_length_a 7.551
_cell_length_b 7.551
_cell_length_c 7.551
_cell_angle_alpha 90.00
_cell_angle_beta 90.00
_cell_angle_gamma 90.00
loop_
_atom_site_label
_atom_site_type_symbol
_atom_site_fract_x
_atom_site_fract_y
_atom_site_fract_z
Dy1 Dy 0.000 0.000 0.000
Tm1 Tm 0.250 0.250 0.250
Zr1 Zr 0.000 0.000 0.500
Sc1 Sc 0.250 0.250 0.750
```

* spin magnetization: 6.58 Bohr magnetons per cell

version one is the most stable structure; the next one sits 111 meV/atom above it.

Version one
A plane-wave DFT calculation with PBE was carried out for a geometry-optimized Dy6YSc2 structure.

CIF file:
```
data_Dy6YSc2
_space_group_name_H-M_alt 'I b a m'
_space_group_IT_number 72
_space_group_name_Hall '-I 2 2c'
_cell_length_a 5.501
_cell_length_b 9.511
_cell_length_c 20.556
_cell_angle_alpha 90.00
_cell_angle_beta 90.00
_cell_angle_gamma 90.00
loop_
_atom_site_label
_atom_site_type_symbol
_atom_site_fract_x
_atom_site_fract_y
_atom_site_fract_z
Dy1 Dy 0.000 0.000 0.080
Dy2 Dy 0.007 0.333 0.163
Y1 Y 0.000 0.000 0.250
Sc1 Sc 0.005 0.333 0.500
```

* spin magnetization: 0.00 Bohr magnetons per cell

Version two
A plane-wave DFT calculation with PBE was carried out for a geometry-optimized Dy6YSc2 structure.

CIF file:
```
data_Dy6YSc2
_space_group_name_H-M_alt 'C 1 2/c 1'
_space_group_IT_number 15
_space_group_name_Hall '-C 2yc'
_cell_length_a 13.366
_cell_length_b 12.928
_cell_length_c 6.526
_cell_angle_alpha 90.00
_cell_angle_beta 104.98
_cell_angle_gamma 90.00
loop_
_atom_site_label
_atom_site_type_symbol
_atom_site_fract_x
_atom_site_fract_y
_atom_site_fract_z
Dy1 Dy 0.027 0.143 0.000
Dy2 Dy 0.120 0.411 0.816
Dy3 Dy 0.244 0.206 0.734
Y1 Y 0.000 0.360 0.250
Sc1 Sc 0.183 0.028 0.374
```

* spin magnetization: 0.00 Bohr magnetons per cell

version one is the most stable structure; the next one sits 58 meV/atom above it.